# 1
6
Lattice="0.000 5.681 5.681 5.681 0.000 5.681 5.681 5.681 0.000" Properties=species:S:1:pos:R:3 comment="GGA-PBE PtBr2, optimized geometry" density_g_cm3=3.21 total_energy_ev_per_atom=-2.96 pbc="T T T"
Pt 1.420 1.420 1.420
Pt 9.941 9.941 9.941
Br 0.000 0.000 0.000
Br 2.840 2.840 0.000
Br 2.840 0.000 2.840
Br 0.000 2.840 2.840



# 2
32
Lattice="4.999 0.000 0.000 0.000 32.659 0.000 -1.617 0.000 4.733" Properties=species:S:1:pos:R:3 comment="GGA-PBE InAg15, optimized geometry" density_g_cm3=7.45 total_energy_ev_per_atom=-2.76 pbc="T T T"
In -0.404 5.002 1.183
In -1.213 27.657 3.550
Ag -1.213 6.635 3.550
Ag -0.404 8.195 1.183
Ag -1.213 9.658 3.550
Ag -0.404 11.168 1.183
Ag -1.213 12.633 3.550
Ag -0.404 14.113 1.183
Ag -1.213 15.591 3.550
Ag -0.404 17.068 1.183
Ag -1.213 18.546 3.550
Ag -0.404 20.026 1.183
Ag -1.213 21.491 3.550
Ag -0.404 23.001 1.183
Ag -1.213 24.464 3.550
Ag -0.404 26.024 1.183
Ag 1.287 5.184 3.550
Ag 2.095 6.630 1.183
Ag 1.287 8.158 3.550
Ag 2.095 9.652 1.183
Ag 1.287 11.136 3.550
Ag 2.095 12.630 1.183
Ag 1.287 14.105 3.550
Ag 2.095 15.591 1.183
Ag 1.287 17.068 3.550
Ag 2.095 18.554 1.183
Ag 1.287 20.029 3.550
Ag 2.095 21.523 1.183
Ag 1.287 23.007 3.550
Ag 2.095 24.502 1.183
Ag 1.287 26.029 3.550
Ag 2.095 27.475 1.183



# 3
12
Lattice="2.144 -7.354 0.000 2.144 7.354 0.000 0.000 0.000 10.748" Properties=species:S:1:pos:R:3 comment="GGA-PBE SrTmAgTe2Se, optimized geometry" density_g_cm3=6.85 total_energy_ev_per_atom=-4.41 pbc="T T T"
Sr 2.144 3.838 8.061
Sr 2.144 -3.838 2.687
Tm 2.144 0.000 0.000
Tm 2.144 0.000 5.374
Ag 2.144 6.968 2.687
Ag 2.144 -6.968 8.061
Te 2.144 5.210 0.546
Te 2.144 5.210 4.828
Te 2.144 -5.210 5.921
Te 2.144 -5.210 10.202
Se 2.144 1.191 2.687
Se 2.144 -1.191 8.061